Compound: Be3TcW
Source: Alexandria via LeMat-Bulk
Functional: PBE-GGA
Structure: relaxed

The structure belongs to space group Pm-3m (No. 221); the cell edges are 4.175, 4.175 and 4.175 Å and the angles 90.00°, 90.00° and 90.00°. Symmetry generates all atoms from Be at (0.000, 0.000, 0.500), Tc at (0.500, 0.500, 0.500) and W at (0.000, 0.000, 0.000).

Its formation energy is 1.561 eV per atom. The calculation puts the energy at -26.69 eV/cell. The value obtained for the excess energy over the best structure of this formula in the dataset is 0.456 eV/atom.